# 1
CrCo2Bi, optimized geometry, DFT GGA-PBEsol; SG = No. 122; ΔH_f (0 K) = 0.8448 eV/atom
1.0
-2.181 -2.483 2.600
-0.743 -2.663 -3.167
7.679 -1.143 1.950
Bi Co Cr
2 4 2
Cartesian
2.737 -3.190 -0.751
0.000 0.000 0.000
0.211 -3.821 -1.023
4.014 -3.781 1.456
5.312 -1.794 1.043
-0.027 -3.184 1.288
-1.462 -2.573 -0.284
2.018 -3.100 2.133

***

# 2
MgTaIr2, optimized geometry, DFT GGA-PBEsol; polymorph energy (0 for the lowest one) = 304 meV/atom; SG = No. 166; ΔH_f (0 K) = -0.2655 eV/atom
1.0
2.843 0.000 0.000
1.422 2.462 0.000
1.422 0.821 8.869
Ir Mg Ta
2 1 1
Cartesian
4.265 2.462 6.685
1.422 0.821 2.183
2.843 1.641 4.434
0.000 0.000 0.000

***

# 3
KLaAu2, optimized geometry, DFT GGA-PBEsol; SG = No. 123; ΔH_f (0 K) = -0.3870 eV/atom
1.0
-2.062 2.745 1.028
0.875 -1.257 5.113
4.277 3.192 0.053
K Au La
1 2 1
Cartesian
1.642 3.367 0.547
0.534 0.398 0.007
3.111 1.367 2.590
-0.058 1.144 3.077

***

# 4
BaSCl3, optimized geometry, DFT GGA-PBEsol; uncorrected formation energy = -0.6331 eV per atom; SG = No. 221
1.0
5.938 0.000 0.000
0.000 5.938 0.000
0.000 0.000 5.938
Cl Ba S
3 1 1
Cartesian
0.000 2.969 0.000
0.000 0.000 2.969
2.969 0.000 0.000
0.000 0.000 0.000
2.969 2.969 2.969